DFT (PBE-GGA) results for Pm8Y2Tm after structural relaxation.

## Properties
- calculated volume (Å³ per atom) = 35.14
- formation energy from the elements (eV per atom) = 0.1634
- M_tot (μB per formula unit) = 0.0

Cell: 19.225 7.051 5.715 Å, 90.00 93.64 90.00°
Space group C2/m (No. 12)
Inequivalent atoms, fractional coordinates:
Pm1 0.045 0.000 0.234 [4 per cell]
Pm2 0.130 0.235 0.731 [8 per cell]
Pm3 0.186 0.500 0.228 [4 per cell]
Y1 0.216 0.000 0.257 [4 per cell]
Tm1 0.000 0.500 0.000 [2 per cell]